No. 1
Pr8SmDy5 | PBE-GGA | relaxed

abc: 8.627 8.628 8.735
angles: 114.05 116.07 98.18
Space group P1 (No. 1)
Inequivalent atoms, fractional coordinates:
Pr  0.000  0.000  0.000 [1 per cell]
Pr  0.001  0.692  0.574 [1 per cell]
Pr  0.391  0.498  0.332 [1 per cell]
Pr  0.435  0.130  0.564 [1 per cell]
Pr  0.553  0.557  0.990 [1 per cell]
Pr  0.601  0.188  0.231 [1 per cell]
Pr  0.730  0.953  0.513 [1 per cell]
Pr  0.874  0.347  0.051 [1 per cell]
Sm  0.999  0.844  0.282 [1 per cell]
Dy  0.123  0.346  0.522 [1 per cell]
Dy  0.212  0.172  0.823 [1 per cell]
Dy  0.259  0.731  0.042 [1 per cell]
Dy  0.493  0.841  0.782 [1 per cell]
Dy  0.783  0.518  0.741 [1 per cell]

**E**: -63.6 eV for the cell shown
**D(E_F)**: 21.164 states/eV per cell
**Energy relative to the elements**: 3.86 kcal/mol of atoms



No. 2
PrSm5Dy | PBE-GGA | relaxed

abc: 11.962 6.897 12.369
angles: 90.00 110.54 90.00
Space group C2/c (No. 15)
Inequivalent atoms, fractional coordinates:
Pr  0.250  0.250  0.000 [4 per cell]
Sm  0.000  0.080  0.750 [4 per cell]
Sm  0.077  0.233  0.501 [8 per cell]
Sm  0.219  0.136  0.250 [8 per cell]
Dy  0.000  0.474  0.250 [4 per cell]

**E**: -127.1 eV for the cell shown
**D(E_F)**: 38.399 states/eV per cell
**Energy relative to the elements**: 3.93 kcal/mol of atoms
**Excess energy over the best structure of this formula in the dataset**: 0.0000 eV/atom



No. 3
Pr9Sm2Dy | PBE-GGA | relaxed

abc: 5.211 5.211 15.626
angles: 90.00 90.00 90.00
Space group P4/mmm (No. 123)
Inequivalent atoms, fractional coordinates:
Pr  0.000  0.000  0.000 [1 per cell]
Pr  0.000  0.000  0.333 [2 per cell]
Pr  0.000  0.500  0.166 [4 per cell]
Pr  0.000  0.500  0.500 [2 per cell]
Sm  0.500  0.500  0.333 [2 per cell]
Dy  0.500  0.500  0.000 [1 per cell]

**E**: -56.9 eV for the cell shown
**D(E_F)**: 20.718 states/eV per cell
**Energy relative to the elements**: 0.32 kcal/mol of atoms



- The lowest energy relative to the elements belongs to which entry?
  Pr9Sm2Dy



- Among the records above, which one has the highest E?
  Pr9Sm2Dy



- The highest D(E_F) belongs to which entry?
  PrSm5Dy



- Look up the E of the third one.
  -56.9 eV for the cell shown